--- a ---
DFT (PBE+U) results for a relaxed structure of NiPt2F.

abc: 4.2291 4.2291 4.2291
angles: 60.00 60.00 60.00
Last column: nearest neighbours and their distance in Å.
Fractional positions:
F  0.0000  0.0000  0.0000  8 Pt 2.59
Pt  0.2500  0.2500  0.2500  4 Ni 2.59, 4 F 2.59
Pt  0.7500  0.7500  0.7500  4 Ni 2.59, 4 F 2.59
Ni  0.5000  0.5000  0.5000  8 Pt 2.59

Output
Density, g cm⁻³: 14.53

---

--- b ---
DFT (PBE+U) results for a relaxed structure of NiPt2F.

abc: 6.6802 6.6802 5.4171
angles: 51.93 51.93 90.00
Last column: nearest neighbours and their distance in Å.
Fractional positions:
Ni  0.0000  0.0000  0.0000  4 Pt 2.57, 2 F 2.65
Pt  0.3750  0.3990  0.7500  2 F 2.35, 2 Ni 2.57
Pt  0.8750  0.8510  0.7500  2 F 2.35, 2 Ni 2.57
Ni  0.7500  0.2500  0.5000  4 Pt 2.57, 2 F 2.65
Pt  0.1490  0.6250  0.2500  2 F 2.35, 2 Ni 2.57
Pt  0.6010  0.1250  0.2500  2 F 2.35, 2 Ni 2.57
F  0.5000  0.5000  0.0000  4 Pt 2.35
F  0.2500  0.7500  0.5000  4 Pt 2.35

Output
Density, g cm⁻³: 13.13

---

Order of stability, best first: a, b

---

--- a ---
DFT (PBE+U) results for a relaxed structure of RbNiF.

abc: 5.0882 5.0882 7.4654
angles: 90.00 90.00 120.00
Last column: nearest neighbours and their distance in Å.
Fractional positions:
Rb  0.3333  0.6667  0.2500  3 F 2.94
Ni  0.0000  0.0000  0.5000  2 F 1.87
F  0.0000  0.0000  0.2500  2 Ni 1.87
Rb  0.6667  0.3333  0.7500  3 F 2.94
Ni  0.0000  0.0000  0.0000  2 F 1.87
F  0.0000  0.0000  0.7500  2 Ni 1.87

Output
Density, g cm⁻³: 3.24

---

--- b ---
DFT (PBE+U) results for a relaxed structure of RbNiF.

abc: 7.2538 5.9309 3.7654
angles: 89.98 74.97 66.02
Last column: nearest neighbours and their distance in Å.
Fractional positions:
F  0.0278  0.0215  0.1199  1 Ni 2.02
F  0.8209  0.6243  0.2237  1 Ni 2.02
Ni  0.5442  0.9294  0.3615  1 F 2.02
Rb  0.7439  0.3308  0.7627  4 F 2.77-2.80
Rb  0.1044  0.6512  0.5824  4 F 2.77-2.79
Ni  0.3062  0.0479  0.9801  1 F 2.02

Output
Density, g cm⁻³: 3.82

---

Order of stability, best first: b, a

---

--- a ---
DFT (PBE+U) results for a relaxed structure of RbNiF.

abc: 7.8727 4.6521 4.5862
angles: 119.76 89.84 106.72
Last column: nearest neighbours and their distance in Å.
Fractional positions:
F  0.0711  0.6341  0.4222  1 Ni 2.14
Rb  0.0431  0.2792  0.7435  4 F 2.67-2.93
Ni  0.3588  0.8299  0.5227  2 F 2.14-2.16
Ni  0.3567  0.1619  0.1881  3 Ni 2.65-2.69
Rb  0.6733  0.6874  0.9450  3 F 2.67-2.68
F  0.6495  0.0127  0.6083  1 Ni 2.16

Output
Density, g cm⁻³: 3.94

---

--- b ---
DFT (PBE+U) results for a relaxed structure of RbNiF.

abc: 8.6048 3.9918 8.2603
angles: 90.00 90.00 90.00
Last column: nearest neighbours and their distance in Å.
Fractional positions:
Rb  0.3399  0.2500  0.1463  3 F 2.81-2.87
F  0.4236  0.2500  0.8169  1 Ni 2.02
Ni  0.5213  0.7500  0.4207  1 F 2.02
Rb  0.1601  0.7500  0.6463  3 F 2.81-2.87
F  0.9236  0.2500  0.6831  1 Ni 2.02
F  0.5764  0.7500  0.1831  1 Ni 2.02
F  0.0764  0.7500  0.3169  1 Ni 2.02
Ni  0.9787  0.2500  0.9207  1 F 2.02
Ni  0.4787  0.2500  0.5793  1 F 2.02
Rb  0.6601  0.7500  0.8537  3 F 2.81-2.87
Rb  0.8399  0.2500  0.3537  3 F 2.81-2.87
Ni  0.0213  0.7500  0.0793  1 F 2.02

Output
Density, g cm⁻³: 3.82

---

Order of stability, best first: b, a